(1)
! SrCo PBE-GGA relaxed; values from VASP
! formation enthalpy at 0 K = 893 meV/atom
! total DFT energy (no corrections) = -0.12866 Ha/atom
! density of states at the Fermi level = 3.97 states/eV/cell
&SYSTEM
  ibrav = 0, nat = 2, ntyp = 2
/
ATOMIC_SPECIES
Sr 87.62 Sr.upf
Co 58.93 Co.upf
ATOMIC_POSITIONS crystal
Sr 0.000 0.000 0.000
Co 0.333 0.667 0.500
CELL_PARAMETERS angstrom
3.937 0.000 0.000
-1.968 3.409 0.000
0.000 0.000 4.169

=====

(2)
! RbPt PBE-GGA relaxed; values from VASP
! formation enthalpy at 0 K = 1161 meV/atom
! total DFT energy (no corrections) = -0.08609 Ha/atom
! density of states at the Fermi level = 13.89 states/eV/cell
&SYSTEM
  ibrav = 0, nat = 2, ntyp = 2
/
ATOMIC_SPECIES
Rb 85.47 Rb.upf
Pt 195.08 Pt.upf
ATOMIC_POSITIONS crystal
Rb 0.000 0.000 0.000
Pt 0.750 0.750 0.750
CELL_PARAMETERS angstrom
0.000 3.904 3.904
3.904 0.000 3.904
3.904 3.904 0.000

=====

(3)
! H4Se PBE-GGA relaxed; values from VASP
! total DFT energy (no corrections) = -0.09744 Ha/atom
! density of states at the Fermi level = 0.36 states/eV/cell
&SYSTEM
  ibrav = 0, nat = 5, ntyp = 2
/
ATOMIC_SPECIES
H 1.01 H.upf
Se 78.96 Se.upf
ATOMIC_POSITIONS crystal
H 0.000 0.000 0.000
H 0.000 0.500 0.500
H 0.500 0.000 0.500
H 0.500 0.500 0.000
Se 0.500 0.500 0.500
CELL_PARAMETERS angstrom
3.602 0.000 0.000
0.000 3.602 0.000
0.000 0.000 3.602

=====

The highest density of states at the Fermi level belongs to which entry? RbPt